# 1
# NaCoPb2 PBE relaxed
data_NaCoPb2
_space_group_name_H-M_alt 'I -4 2 d'
_space_group_IT_number 122
_space_group_name_Hall 'I -4 2bw'
_cell_length_a 5.994
_cell_length_b 5.994
_cell_length_c 15.073
_cell_angle_alpha 90.00
_cell_angle_beta 90.00
_cell_angle_gamma 90.00
loop_
_atom_site_label
_atom_site_type_symbol
_atom_site_fract_x
_atom_site_fract_y
_atom_site_fract_z
Na1 Na 0.000 0.000 0.000
Co1 Co 0.000 0.000 0.500
Pb1 Pb 0.106 0.250 0.625
# Calculated formation energy: 454 meV/atom
# Total energy: -3.5068 eV per atom

# 2
# Rb3AgI6 PBE relaxed
data_Rb3AgI6
_space_group_name_H-M_alt 'I 4/m m m'
_space_group_IT_number 139
_space_group_name_Hall '-I 4 2'
_cell_length_a 8.932
_cell_length_b 8.932
_cell_length_c 12.545
_cell_angle_alpha 90.00
_cell_angle_beta 90.00
_cell_angle_gamma 90.00
loop_
_atom_site_label
_atom_site_type_symbol
_atom_site_fract_x
_atom_site_fract_y
_atom_site_fract_z
Rb1 Rb 0.000 0.000 0.000
Rb2 Rb 0.000 0.500 0.250
Ag1 Ag 0.000 0.000 0.500
I1 I 0.000 0.000 0.273
I2 I 0.229 0.229 0.500
# Distance to the lowest polymorph of the same formula: 120.6 meV per atom
# Formation energy without anion corrections: -7.7 eV per formula unit
# Total energy: -2.2710 eV per atom

# 3
# Er2GeRu PBE relaxed
data_Er2GeRu
_space_group_name_H-M_alt 'P 4/m m m'
_space_group_IT_number 123
_space_group_name_Hall '-P 4 2'
_cell_length_a 3.441
_cell_length_b 3.441
_cell_length_c 7.024
_cell_angle_alpha 90.00
_cell_angle_beta 90.00
_cell_angle_gamma 90.00
loop_
_atom_site_label
_atom_site_type_symbol
_atom_site_fract_x
_atom_site_fract_y
_atom_site_fract_z
Er1 Er 0.000 0.000 0.234
Ge1 Ge 0.500 0.500 0.500
Ru1 Ru 0.500 0.500 0.000
# Calculated formation energy: -577 meV/atom
# Total energy: -6.3317 eV per atom

# 4
# KLa2TlB PBE relaxed
data_KLa2TlB
_space_group_name_H-M_alt 'P 4/m m m'
_space_group_IT_number 123
_space_group_name_Hall '-P 4 2'
_cell_length_a 5.492
_cell_length_b 5.492
_cell_length_c 5.041
_cell_angle_alpha 90.00
_cell_angle_beta 90.00
_cell_angle_gamma 90.00
loop_
_atom_site_label
_atom_site_type_symbol
_atom_site_fract_x
_atom_site_fract_y
_atom_site_fract_z
K1 K 0.000 0.000 0.000
La1 La 0.000 0.500 0.500
Tl1 Tl 0.500 0.500 0.000
B1 B 0.500 0.500 0.500
# Calculated formation energy: 295 meV/atom
# Total energy: -3.7040 eV per atom

Please write out number 2 again, unchanged.
# Rb3AgI6 PBE relaxed
data_Rb3AgI6
_space_group_name_H-M_alt 'I 4/m m m'
_space_group_IT_number 139
_space_group_name_Hall '-I 4 2'
_cell_length_a 8.932
_cell_length_b 8.932
_cell_length_c 12.545
_cell_angle_alpha 90.00
_cell_angle_beta 90.00
_cell_angle_gamma 90.00
loop_
_atom_site_label
_atom_site_type_symbol
_atom_site_fract_x
_atom_site_fract_y
_atom_site_fract_z
Rb1 Rb 0.000 0.000 0.000
Rb2 Rb 0.000 0.500 0.250
Ag1 Ag 0.000 0.000 0.500
I1 I 0.000 0.000 0.273
I2 I 0.229 0.229 0.500
# Distance to the lowest polymorph of the same formula: 120.6 meV per atom
# Formation energy without anion corrections: -7.7 eV per formula unit
# Total energy: -2.2710 eV per atom

> Which value of total energy does entry 3 give?

-6.3317 eV per atom

> Which formula does entry 3 have?

Er2GeRu

> Among the records above, which one has the lowest total energy?

Er2GeRu